Record 1
DFT (PBE) results for an optimized crystal structure of Sr2SnMo. Values from VASP.

Structure (Quantum ESPRESSO input):
```
&SYSTEM
  ibrav = 0, nat = 8, ntyp = 3
/
ATOMIC_SPECIES
Sr 87.62 Sr.upf
Sn 118.71 Sn.upf
Mo 95.94 Mo.upf
ATOMIC_POSITIONS crystal
Sr 0.093 0.125 0.468
Sr 0.375 0.907 0.032
Sr 0.657 0.625 0.532
Sr 0.875 0.343 0.968
Sn 0.250 0.750 0.500
Sn 0.500 0.500 0.000
Mo 0.000 0.000 0.000
Mo 0.750 0.250 0.500
CELL_PARAMETERS angstrom
-4.462 4.462 3.050
4.462 -4.462 3.050
4.462 4.462 -3.050
```

Summary:
ΔE_f ... 0.77 eV/atom
Symmetry ... I-42d

=====

Record 2
DFT (PBE) results for an optimized crystal structure of SrSnMo3. Values from VASP.

Structure (Quantum ESPRESSO input):
```
&SYSTEM
  ibrav = 0, nat = 5, ntyp = 3
/
ATOMIC_SPECIES
Sr 87.62 Sr.upf
Sn 118.71 Sn.upf
Mo 95.94 Mo.upf
ATOMIC_POSITIONS crystal
Sr 0.000 0.000 0.000
Sn 0.500 0.500 0.500
Mo 0.000 0.000 0.500
Mo 0.000 0.500 0.000
Mo 0.500 0.000 0.000
CELL_PARAMETERS angstrom
4.847 0.000 0.000
0.000 4.847 0.000
0.000 0.000 4.847
```

Summary:
ΔE to the lowest computed polymorph ... 1.0291 eV/atom
ΔE_f ... 2.81 eV/atom
Symmetry ... Pm-3m

=====

Record 3
DFT (PBE) results for an optimized crystal structure of Sr2SnMo2. Values from VASP.

Structure (Quantum ESPRESSO input):
```
&SYSTEM
  ibrav = 0, nat = 5, ntyp = 3
/
ATOMIC_SPECIES
Sr 87.62 Sr.upf
Sn 118.71 Sn.upf
Mo 95.94 Mo.upf
ATOMIC_POSITIONS crystal
Sr 0.250 0.750 0.500
Sr 0.750 0.250 0.500
Sn 0.000 0.000 0.000
Mo 0.424 0.424 0.000
Mo 0.576 0.576 0.000
CELL_PARAMETERS angstrom
-2.446 2.446 6.671
2.446 -2.446 6.671
2.446 2.446 -6.671
```

Summary:
ΔE to the lowest computed polymorph ... 0.7706 eV/atom
ΔE_f ... 1.14 eV/atom
Symmetry ... I4/mmm

=====

Record 4
DFT (PBE) results for an optimized crystal structure of SrSn2Mo. Values from VASP.

Structure (Quantum ESPRESSO input):
```
&SYSTEM
  ibrav = 0, nat = 4, ntyp = 3
/
ATOMIC_SPECIES
Sr 87.62 Sr.upf
Sn 118.71 Sn.upf
Mo 95.94 Mo.upf
ATOMIC_POSITIONS crystal
Sr 0.000 0.000 0.000
Sn 0.250 0.250 0.250
Sn 0.750 0.750 0.750
Mo 0.500 0.500 0.500
CELL_PARAMETERS angstrom
0.000 3.643 3.643
3.643 0.000 3.643
3.643 3.643 0.000
```

Summary:
ΔE to the lowest computed polymorph ... 0.0000 eV/atom
ΔE_f ... 0.24 eV/atom
Symmetry ... Fm-3m

=====

Record 5
DFT (PBE) results for an optimized crystal structure of SrSn2Mo. Values from VASP.

Structure (Quantum ESPRESSO input):
```
&SYSTEM
  ibrav = 0, nat = 8, ntyp = 3
/
ATOMIC_SPECIES
Sr 87.62 Sr.upf
Sn 118.71 Sn.upf
Mo 95.94 Mo.upf
ATOMIC_POSITIONS crystal
Sr 0.000 0.000 0.000
Sr 0.750 0.250 0.500
Sn 0.295 0.625 0.170
Sn 0.375 0.545 0.670
Sn 0.455 0.125 0.830
Sn 0.875 0.705 0.330
Mo 0.250 0.750 0.500
Mo 0.500 0.500 0.000
CELL_PARAMETERS angstrom
-2.818 2.818 8.851
2.818 -2.818 8.851
2.818 2.818 -8.851
```

Summary:
ΔE to the lowest computed polymorph ... 0.1241 eV/atom
ΔE_f ... 0.36 eV/atom
Symmetry ... I-42d

=====

Record 6
DFT (PBE) results for an optimized crystal structure of SrSnMo3. Values from VASP.

Structure (Quantum ESPRESSO input):
```
&SYSTEM
  ibrav = 0, nat = 5, ntyp = 3
/
ATOMIC_SPECIES
Sr 87.62 Sr.upf
Sn 118.71 Sn.upf
Mo 95.94 Mo.upf
ATOMIC_POSITIONS crystal
Sr 0.000 0.000 0.000
Sn 0.500 0.500 0.500
Mo 0.000 0.500 0.500
Mo 0.500 0.000 0.500
Mo 0.500 0.500 0.000
CELL_PARAMETERS angstrom
5.057 0.000 0.000
0.000 5.057 0.000
0.000 0.000 5.057
```

Summary:
ΔE to the lowest computed polymorph ... 0.0000 eV/atom
ΔE_f ... 1.78 eV/atom
Symmetry ... Pm-3m

=====

Record 7
DFT (PBE) results for an optimized crystal structure of SrSn3Mo. Values from VASP.

Structure (Quantum ESPRESSO input):
```
&SYSTEM
  ibrav = 0, nat = 5, ntyp = 3
/
ATOMIC_SPECIES
Sr 87.62 Sr.upf
Sn 118.71 Sn.upf
Mo 95.94 Mo.upf
ATOMIC_POSITIONS crystal
Sr 0.000 0.000 0.000
Sn 0.000 0.500 0.500
Sn 0.500 0.000 0.500
Sn 0.500 0.500 0.000
Mo 0.500 0.500 0.500
CELL_PARAMETERS angstrom
5.302 0.000 0.000
0.000 5.302 0.000
0.000 0.000 5.302
```

Summary:
ΔE to the lowest computed polymorph ... 0.0000 eV/atom
ΔE_f ... -0.01 eV/atom
Symmetry ... Pm-3m

=====

Record 8
DFT (PBE) results for an optimized crystal structure of Sr2SnMo2. Values from VASP.

Structure (Quantum ESPRESSO input):
```
&SYSTEM
  ibrav = 0, nat = 10, ntyp = 3
/
ATOMIC_SPECIES
Sr 87.62 Sr.upf
Sn 118.71 Sn.upf
Mo 95.94 Mo.upf
ATOMIC_POSITIONS crystal
Sr 0.181 0.319 0.000
Sr 0.319 0.819 0.000
Sr 0.681 0.181 0.000
Sr 0.819 0.681 0.000
Sn 0.000 0.000 0.500
Sn 0.500 0.500 0.500
Mo 0.108 0.608 0.500
Mo 0.392 0.108 0.500
Mo 0.608 0.892 0.500
Mo 0.892 0.392 0.500
CELL_PARAMETERS angstrom
7.246 0.000 0.000
0.000 7.246 0.000
0.000 0.000 5.232
```

Summary:
ΔE to the lowest computed polymorph ... 0.0000 eV/atom
ΔE_f ... 0.37 eV/atom
Symmetry ... P4/mbm

=====

Record 9
DFT (PBE) results for an optimized crystal structure of TaSn3Mo. Values from VASP.

Structure (Quantum ESPRESSO input):
```
&SYSTEM
  ibrav = 0, nat = 5, ntyp = 3
/
ATOMIC_SPECIES
Ta 180.95 Ta.upf
Sn 118.71 Sn.upf
Mo 95.94 Mo.upf
ATOMIC_POSITIONS crystal
Ta 0.000 0.000 0.000
Sn 0.000 0.000 0.500
Sn 0.000 0.500 0.000
Sn 0.500 0.000 0.000
Mo 0.500 0.500 0.500
CELL_PARAMETERS angstrom
5.360 0.000 0.000
0.000 5.360 0.000
0.000 0.000 5.360
```

Summary:
ΔE to the lowest computed polymorph ... 0.0000 eV/atom
ΔE_f ... 1.20 eV/atom
Symmetry ... Pm-3m

=====

Record 10
DFT (PBE) results for an optimized crystal structure of Ta2SnMo. Values from VASP.

Structure (Quantum ESPRESSO input):
```
&SYSTEM
  ibrav = 0, nat = 4, ntyp = 3
/
ATOMIC_SPECIES
Ta 180.95 Ta.upf
Sn 118.71 Sn.upf
Mo 95.94 Mo.upf
ATOMIC_POSITIONS crystal
Ta 0.000 0.000 0.235
Ta 0.000 0.000 0.765
Sn 0.500 0.500 0.500
Mo 0.500 0.500 0.000
CELL_PARAMETERS angstrom
3.484 0.000 0.000
0.000 3.484 0.000
0.000 0.000 6.031
```

Summary:
ΔE to the lowest computed polymorph ... 0.0000 eV/atom
ΔE_f ... 0.02 eV/atom
Symmetry ... P4/mmm

=====

Record 11
DFT (PBE) results for an optimized crystal structure of Ta2SnMo. Values from VASP.

Structure (Quantum ESPRESSO input):
```
&SYSTEM
  ibrav = 0, nat = 8, ntyp = 3
/
ATOMIC_SPECIES
Ta 180.95 Ta.upf
Sn 118.71 Sn.upf
Mo 95.94 Mo.upf
ATOMIC_POSITIONS crystal
Ta 0.079 0.625 0.954
Ta 0.375 0.329 0.454
Ta 0.671 0.125 0.046
Ta 0.875 0.921 0.546
Sn 0.250 0.750 0.500
Sn 0.500 0.500 0.000
Mo 0.000 0.000 0.000
Mo 0.750 0.250 0.500
CELL_PARAMETERS angstrom
-3.080 3.080 5.976
3.080 -3.080 5.976
3.080 3.080 -5.976
```

Summary:
ΔE to the lowest computed polymorph ... 1.8272 eV/atom
ΔE_f ... 1.85 eV/atom
Symmetry ... I-42d

=====

Record 12
DFT (PBE) results for an optimized crystal structure of Ta6SnMo5. Values from VASP.

Structure (Quantum ESPRESSO input):
```
&SYSTEM
  ibrav = 0, nat = 12, ntyp = 3
/
ATOMIC_SPECIES
Ta 180.95 Ta.upf
Sn 118.71 Sn.upf
Mo 95.94 Mo.upf
ATOMIC_POSITIONS crystal
Ta 0.072 0.329 0.743
Ta 0.232 0.000 0.232
Ta 0.415 0.671 0.743
Ta 0.585 0.329 0.257
Ta 0.768 0.000 0.768
Ta 0.928 0.671 0.257
Sn 0.500 0.500 0.000
Mo 0.000 0.500 0.500
Mo 0.169 0.169 0.000
Mo 0.339 0.839 0.500
Mo 0.661 0.161 0.500
Mo 0.831 0.831 0.000
CELL_PARAMETERS angstrom
-2.298 3.286 6.887
2.298 -3.286 6.887
2.298 3.286 -6.887
```

Summary:
ΔE_f ... -0.14 eV/atom
Symmetry ... Immm